1.
Computed, not measured: an optimized crystal structure of Tl2TeRh2O6 at the GGA-PBE level of DFT.

CIF file:
```
data_Tl2TeRh2O6
_chemical_formula_sum 'Tl4 Te2 Rh4 O12'
_cell_length_a 5.580
_cell_length_b 9.679
_cell_length_c 6.703
_cell_angle_alpha 90.00
_cell_angle_beta 90.55
_cell_angle_gamma 90.00
_space_group_name_H-M_alt 'C 1 2/m 1'
_space_group_IT_number 12
_space_group_name_Hall '-C 2y'
loop_
_atom_site_label
_atom_site_type_symbol
_atom_site_fract_x
_atom_site_fract_y
_atom_site_fract_z
Tl1 Tl 0.000 0.167 0.000
Te1 Te 0.000 0.500 0.500
Rh1 Rh 0.000 0.167 0.500
O1 O 0.154 0.000 0.348
O2 O 0.170 0.328 0.347
```

Calculated values
- uncorrected formation energy (eV per atom) = -0.700



2.
Computed, not measured: an optimized crystal structure of Tb2CePm3S6 at the GGA-PBE level of DFT.

CIF file:
```
data_Tb2CePm3S6
_chemical_formula_sum 'Tb4 Ce2 Pm6 S12'
_cell_length_a 6.909
_cell_length_b 11.994
_cell_length_c 6.930
_cell_angle_alpha 90.00
_cell_angle_beta 109.55
_cell_angle_gamma 90.00
_space_group_name_H-M_alt 'C 1 2/m 1'
_space_group_IT_number 12
_space_group_name_Hall '-C 2y'
loop_
_atom_site_label
_atom_site_type_symbol
_atom_site_fract_x
_atom_site_fract_y
_atom_site_fract_z
Tb1 Tb 0.000 0.167 0.000
Ce1 Ce 0.000 0.500 0.000
Pm1 Pm 0.000 0.000 0.500
Pm2 Pm 0.000 0.333 0.500
S1 S 0.243 0.000 0.243
S2 S 0.250 0.169 0.757
```

Calculated values
- uncorrected formation energy (eV per atom) = -2.033



3.
Computed, not measured: an optimized crystal structure of La6SeS2Cl3 at the GGA-PBE level of DFT.

CIF file:
```
data_La6SeS2Cl3
_chemical_formula_sum 'La12 Se2 S4 Cl6'
_cell_length_a 7.336
_cell_length_b 12.542
_cell_length_c 7.162
_cell_angle_alpha 90.00
_cell_angle_beta 109.37
_cell_angle_gamma 90.00
_space_group_name_H-M_alt 'C 1 2/m 1'
_space_group_IT_number 12
_space_group_name_Hall '-C 2y'
loop_
_atom_site_label
_atom_site_type_symbol
_atom_site_fract_x
_atom_site_fract_y
_atom_site_fract_z
La1 La 0.229 0.000 0.231
La2 La 0.246 0.173 0.760
Se1 Se 0.000 0.500 0.000
S1 S 0.000 0.169 0.000
Cl1 Cl 0.000 0.000 0.500
Cl2 Cl 0.000 0.342 0.500
```

Calculated values
- uncorrected formation energy (eV per atom) = -1.844



4.
Computed, not measured: an optimized crystal structure of MgSb2Rh2 at the GGA-PBE level of DFT.

CIF file:
```
data_MgSb2Rh2
_chemical_formula_sum 'Mg2 Sb4 Rh4'
_cell_length_a 4.550
_cell_length_b 4.550
_cell_length_c 10.494
_cell_angle_alpha 90.00
_cell_angle_beta 90.00
_cell_angle_gamma 90.00
_space_group_name_H-M_alt 'I 4/m m m'
_space_group_IT_number 139
_space_group_name_Hall '-I 4 2'
loop_
_atom_site_label
_atom_site_type_symbol
_atom_site_fract_x
_atom_site_fract_y
_atom_site_fract_z
Mg1 Mg 0.000 0.000 0.000
Sb1 Sb 0.000 0.000 0.368
Rh1 Rh 0.000 0.500 0.250
```

Calculated values
- uncorrected formation energy (eV per atom) = -0.225



5.
Computed, not measured: an optimized crystal structure of MnFeAu2 at the GGA-PBE level of DFT.

CIF file:
```
data_MnFeAu2
_chemical_formula_sum 'Mn1 Fe1 Au2'
_cell_length_a 2.918
_cell_length_b 3.791
_cell_length_c 5.711
_cell_angle_alpha 90.00
_cell_angle_beta 90.00
_cell_angle_gamma 90.00
_space_group_name_H-M_alt 'P m m m'
_space_group_IT_number 47
_space_group_name_Hall '-P 2 2'
loop_
_atom_site_label
_atom_site_type_symbol
_atom_site_fract_x
_atom_site_fract_y
_atom_site_fract_z
Mn1 Mn 0.000 0.000 0.000
Fe1 Fe 0.000 0.000 0.500
Au1 Au 0.500 0.500 0.253
```

Calculated values
- energy of formation (eV/atom) = 0.11



6.
Computed, not measured: an optimized crystal structure of Cs2LiHg at the GGA-PBE level of DFT.

CIF file:
```
data_Cs2LiHg
_chemical_formula_sum 'Cs6 Li3 Hg3'
_cell_length_a 4.6478
_cell_length_b 4.6478
_cell_length_c 39.4720
_cell_angle_alpha 90.00
_cell_angle_beta 90.00
_cell_angle_gamma 120.00
_space_group_name_H-M_alt 'R -3 m'
_space_group_IT_number 166
_space_group_name_Hall '-R 3 2"'
loop_
_atom_site_label
_atom_site_type_symbol
_atom_site_fract_x
_atom_site_fract_y
_atom_site_fract_z
Cs1 Cs 0.0000 0.0000 0.0989
Li1 Li 0.0000 0.0000 0.0000
Hg1 Hg 0.0000 0.0000 0.5000
```

Calculated values
- energy of formation (eV/atom) = 0.15



7.
Computed, not measured: an optimized crystal structure of CoSb8Pt2 at the GGA-PBE level of DFT.

CIF file:
```
data_CoSb8Pt2
_chemical_formula_sum 'Co1 Sb8 Pt2'
_cell_length_a 5.685
_cell_length_b 6.960
_cell_length_c 7.104
_cell_angle_alpha 105.70
_cell_angle_beta 92.90
_cell_angle_gamma 91.67
_space_group_name_H-M_alt 'P -1'
_space_group_IT_number 2
_space_group_name_Hall '-P 1'
loop_
_atom_site_label
_atom_site_type_symbol
_atom_site_fract_x
_atom_site_fract_y
_atom_site_fract_z
Co1 Co 0.000 0.000 0.000
Sb1 Sb 0.248 0.286 0.957
Sb2 Sb 0.251 0.602 0.347
Sb3 Sb 0.257 0.062 0.324
Sb4 Sb 0.311 0.780 0.835
Pt1 Pt 0.236 0.395 0.622
```

Calculated values
- uncorrected formation energy (eV per atom) = -0.152



8.
Computed, not measured: an optimized crystal structure of Tb3Sm7Th at the GGA-PBE level of DFT.

CIF file:
```
data_Tb3Sm7Th
_chemical_formula_sum 'Tb3 Sm7 Th1'
_cell_length_a 7.1664
_cell_length_b 7.1664
_cell_length_c 8.6947
_cell_angle_alpha 90.00
_cell_angle_beta 90.00
_cell_angle_gamma 120.00
_space_group_name_H-M_alt 'P 3 m 1'
_space_group_IT_number 156
_space_group_name_Hall 'P 3 -2"'
loop_
_atom_site_label
_atom_site_type_symbol
_atom_site_fract_x
_atom_site_fract_y
_atom_site_fract_z
Tb1 Tb 0.1690 0.3380 0.0000
Sm1 Sm 0.0000 0.0000 0.6635
Sm2 Sm 0.0061 0.5030 0.6615
Sm3 Sm 0.3313 0.1657 0.3276
Th1 Th 0.3333 0.6667 0.3296
```

Calculated values
- energy of formation (eV/atom) = 0.19



9.
Computed, not measured: an optimized crystal structure of YB2TeSe at the GGA-PBE level of DFT.

CIF file:
```
data_YB2TeSe
_chemical_formula_sum 'Y1 B2 Te1 Se1'
_cell_length_a 4.853
_cell_length_b 4.853
_cell_length_c 5.884
_cell_angle_alpha 90.00
_cell_angle_beta 90.00
_cell_angle_gamma 90.00
_space_group_name_H-M_alt 'P 4/m m m'
_space_group_IT_number 123
_space_group_name_Hall '-P 4 2'
loop_
_atom_site_label
_atom_site_type_symbol
_atom_site_fract_x
_atom_site_fract_y
_atom_site_fract_z
Y1 Y 0.000 0.000 0.000
B1 B 0.000 0.500 0.000
Te1 Te 0.000 0.000 0.500
Se1 Se 0.500 0.500 0.500
```

Calculated values
- uncorrected formation energy (eV per atom) = 1.572



10.
Computed, not measured: an optimized crystal structure of TaVPd14 at the GGA-PBE level of DFT.

CIF file:
```
data_TaVPd14
_chemical_formula_sum 'Ta1 V1 Pd14'
_cell_length_a 5.595
_cell_length_b 5.595
_cell_length_c 7.807
_cell_angle_alpha 90.00
_cell_angle_beta 90.00
_cell_angle_gamma 90.00
_space_group_name_H-M_alt 'P 4/m m m'
_space_group_IT_number 123
_space_group_name_Hall '-P 4 2'
loop_
_atom_site_label
_atom_site_type_symbol
_atom_site_fract_x
_atom_site_fract_y
_atom_site_fract_z
Ta1 Ta 0.000 0.000 0.000
V1 V 0.500 0.500 0.000
Pd1 Pd 0.000 0.000 0.500
Pd2 Pd 0.000 0.500 0.000
Pd3 Pd 0.000 0.500 0.500
Pd4 Pd 0.251 0.251 0.241
Pd5 Pd 0.500 0.500 0.500
```

Calculated values
- energy of formation (eV/atom) = -0.23



11.
Computed, not measured: an optimized crystal structure of SrScBi2 at the GGA-PBE level of DFT.

CIF file:
```
data_SrScBi2
_chemical_formula_sum 'Sr1 Sc1 Bi2'
_cell_length_a 3.769
_cell_length_b 3.769
_cell_length_c 8.519
_cell_angle_alpha 90.00
_cell_angle_beta 90.00
_cell_angle_gamma 90.00
_space_group_name_H-M_alt 'P 4/m m m'
_space_group_IT_number 123
_space_group_name_Hall '-P 4 2'
loop_
_atom_site_label
_atom_site_type_symbol
_atom_site_fract_x
_atom_site_fract_y
_atom_site_fract_z
Sr1 Sr 0.000 0.000 0.000
Sc1 Sc 0.000 0.000 0.500
Bi1 Bi 0.500 0.500 0.282
```

Calculated values
- energy of formation (eV/atom) = -0.58



12.
Computed, not measured: an optimized crystal structure of LiTl2In at the GGA-PBE level of DFT.

CIF file:
```
data_LiTl2In
_chemical_formula_sum 'Li2 Tl4 In2'
_cell_length_a 4.799
_cell_length_b 4.808
_cell_length_c 8.717
_cell_angle_alpha 90.00
_cell_angle_beta 90.00
_cell_angle_gamma 90.00
_space_group_name_H-M_alt 'C m m m'
_space_group_IT_number 65
_space_group_name_Hall '-C 2 2'
loop_
_atom_site_label
_atom_site_type_symbol
_atom_site_fract_x
_atom_site_fract_y
_atom_site_fract_z
Li1 Li 0.000 0.000 0.000
Tl1 Tl 0.000 0.500 0.217
In1 In 0.000 0.000 0.500
```

Calculated values
- energy of formation (eV/atom) = -0.07



13.
Computed, not measured: an optimized crystal structure of ScAlIr2S at the GGA-PBE level of DFT.

CIF file:
```
data_ScAlIr2S
_chemical_formula_sum 'Sc1 Al1 Ir2 S1'
_cell_length_a 4.556
_cell_length_b 4.556
_cell_length_c 4.525
_cell_angle_alpha 90.00
_cell_angle_beta 90.00
_cell_angle_gamma 90.00
_space_group_name_H-M_alt 'P 4/m m m'
_space_group_IT_number 123
_space_group_name_Hall '-P 4 2'
loop_
_atom_site_label
_atom_site_type_symbol
_atom_site_fract_x
_atom_site_fract_y
_atom_site_fract_z
Sc1 Sc 0.000 0.000 0.000
Al1 Al 0.500 0.500 0.500
Ir1 Ir 0.000 0.500 0.500
S1 S 0.500 0.500 0.000
```

Calculated values
- uncorrected formation energy (eV per atom) = 0.306



14.
Computed, not measured: an optimized crystal structure of LuZrScTi at the GGA-PBE level of DFT.

CIF file:
```
data_LuZrScTi
_chemical_formula_sum 'Lu4 Zr4 Sc4 Ti4'
_cell_length_a 7.196
_cell_length_b 7.196
_cell_length_c 7.196
_cell_angle_alpha 90.00
_cell_angle_beta 90.00
_cell_angle_gamma 90.00
_space_group_name_H-M_alt 'F -4 3 m'
_space_group_IT_number 216
_space_group_name_Hall 'F -4 2 3'
loop_
_atom_site_label
_atom_site_type_symbol
_atom_site_fract_x
_atom_site_fract_y
_atom_site_fract_z
Lu1 Lu 0.000 0.000 0.000
Zr1 Zr 0.000 0.000 0.500
Sc1 Sc 0.250 0.250 0.250
Ti1 Ti 0.250 0.250 0.750
```

Calculated values
- energy of formation (eV/atom) = 0.17



15.
Computed, not measured: an optimized crystal structure of Pa2Fe9Cu at the GGA-PBE level of DFT.

CIF file:
```
data_Pa2Fe9Cu
_chemical_formula_sum 'Pa6 Fe27 Cu3'
_cell_length_a 4.9227
_cell_length_b 4.9227
_cell_length_c 24.1197
_cell_angle_alpha 90.00
_cell_angle_beta 90.00
_cell_angle_gamma 120.00
_space_group_name_H-M_alt 'R -3 m'
_space_group_IT_number 166
_space_group_name_Hall '-R 3 2"'
loop_
_atom_site_label
_atom_site_type_symbol
_atom_site_fract_x
_atom_site_fract_y
_atom_site_fract_z
Pa1 Pa 0.0000 0.0000 0.1378
Fe1 Fe 0.0000 0.0000 0.3332
Fe2 Fe 0.0000 0.0000 0.5000
Fe3 Fe 0.0015 0.5007 0.9184
Cu1 Cu 0.0000 0.0000 0.0000
```

Calculated values
- energy of formation (eV/atom) = 0.09



16.
Computed, not measured: an optimized crystal structure of Y3InTe at the GGA-PBE level of DFT.

CIF file:
```
data_Y3InTe
_chemical_formula_sum 'Y6 In2 Te2'
_cell_length_a 8.792
_cell_length_b 4.171
_cell_length_c 8.837
_cell_angle_alpha 90.00
_cell_angle_beta 94.21
_cell_angle_gamma 90.00
_space_group_name_H-M_alt 'P 1 21/m 1'
_space_group_IT_number 11
_space_group_name_Hall '-P 2yb'
loop_
_atom_site_label
_atom_site_type_symbol
_atom_site_fract_x
_atom_site_fract_y
_atom_site_fract_z
Y1 Y 0.014 0.250 0.157
Y2 Y 0.340 0.750 0.616
Y3 Y 0.376 0.750 0.115
In1 In 0.253 0.250 0.865
Te1 Te 0.311 0.250 0.363
```

Calculated values
- uncorrected formation energy (eV per atom) = -0.663



17.
Computed, not measured: an optimized crystal structure of Cr2SbP at the GGA-PBE level of DFT.

CIF file:
```
data_Cr2SbP
_chemical_formula_sum 'Cr2 Sb1 P1'
_cell_length_a 2.998
_cell_length_b 2.983
_cell_length_c 7.160
_cell_angle_alpha 90.00
_cell_angle_beta 96.85
_cell_angle_gamma 90.00
_space_group_name_H-M_alt 'P 1 2/m 1'
_space_group_IT_number 10
_space_group_name_Hall '-P 2y'
loop_
_atom_site_label
_atom_site_type_symbol
_atom_site_fract_x
_atom_site_fract_y
_atom_site_fract_z
Cr1 Cr 0.061 0.000 0.180
Sb1 Sb 0.000 0.500 0.500
P1 P 0.500 0.500 0.000
```

Calculated values
- uncorrected formation energy (eV per atom) = 0.107



18.
Computed, not measured: an optimized crystal structure of Hf2ScHgPt at the GGA-PBE level of DFT.

CIF file:
```
data_Hf2ScHgPt
_chemical_formula_sum 'Hf2 Sc1 Hg1 Pt1'
_cell_length_a 4.914
_cell_length_b 4.914
_cell_length_c 5.013
_cell_angle_alpha 90.00
_cell_angle_beta 90.00
_cell_angle_gamma 90.00
_space_group_name_H-M_alt 'P 4/m m m'
_space_group_IT_number 123
_space_group_name_Hall '-P 4 2'
loop_
_atom_site_label
_atom_site_type_symbol
_atom_site_fract_x
_atom_site_fract_y
_atom_site_fract_z
Hf1 Hf 0.000 0.500 0.000
Sc1 Sc 0.000 0.000 0.000
Hg1 Hg 0.000 0.000 0.500
Pt1 Pt 0.500 0.500 0.500
```

Calculated values
- energy of formation (eV/atom) = 1.25



19.
Computed, not measured: an optimized crystal structure of ScRh at the GGA-PBE level of DFT.

CIF file:
```
data_ScRh
_chemical_formula_sum 'Sc4 Rh4'
_cell_length_a 9.850
_cell_length_b 3.164
_cell_length_c 4.532
_cell_angle_alpha 90.00
_cell_angle_beta 99.01
_cell_angle_gamma 90.00
_space_group_name_H-M_alt 'C 1 2/m 1'
_space_group_IT_number 12
_space_group_name_Hall '-C 2y'
loop_
_atom_site_label
_atom_site_type_symbol
_atom_site_fract_x
_atom_site_fract_y
_atom_site_fract_z
Sc1 Sc 0.121 0.000 0.290
Rh1 Rh 0.113 0.500 0.785
```

Calculated values
- energy of formation (eV/atom) = -0.83



20.
Computed, not measured: an optimized crystal structure of ThScSe2N at the GGA-PBE level of DFT.

CIF file:
```
data_ThScSe2N
_chemical_formula_sum 'Th2 Sc2 Se4 N2'
_cell_length_a 3.996
_cell_length_b 3.996
_cell_length_c 14.017
_cell_angle_alpha 90.00
_cell_angle_beta 90.00
_cell_angle_gamma 90.00
_space_group_name_H-M_alt 'P 4/n m m'
_space_group_IT_number 129
loop_
_space_group_symop_operation_xyz
'x,y,z'
'-x,-y,-z'
'-y+1/2,x,z'
'y+1/2,-x,-z'
'-x+1/2,-y+1/2,z'
'x+1/2,y+1/2,-z'
'y,-x+1/2,z'
'-y,x+1/2,-z'
'x+1/2,-y,-z'
'-x+1/2,y,z'
'-y,-x,-z'
'y,x,z'
'-x,y+1/2,-z'
'x,-y+1/2,z'
'y+1/2,x+1/2,-z'
'-y+1/2,-x+1/2,z'
loop_
_atom_site_label
_atom_site_type_symbol
_atom_site_fract_x
_atom_site_fract_y
_atom_site_fract_z
Th1 Th 0.250 0.250 0.086
Sc1 Sc 0.250 0.250 0.612
Se1 Se 0.250 0.250 0.410
Se2 Se 0.250 0.250 0.790
N1 N 0.250 0.750 0.000
```

Calculated values
- uncorrected formation energy (eV per atom) = -1.760



Q: Which M_tot values were calculated for the entries above? A: 0.0; 1.2; 0.0; 0.0; 6.8; 0.0; 0.0; 0.0; 0.0; 0.4; 0.0; 0.0; 0.0; 10.3; 47.2; 0.8; 3.8; 0.0; 0.0; 0.0, in μB/cell.